## Cs2AgHgH6 (PBE)

Data for an optimized crystal structure of Cs2AgHgH6.

Computed properties:
SG = Fmmm
Uncorrected energy = -2.47 eV/atom

POSCAR file:
```
Cs2AgHgH6
1.0
0.0000 4.4299 4.5379
4.4230 0.0000 4.5379
4.4230 4.4299 0.0000
Cs Ag Hg H
2 1 1 6
Cartesian
2.2115 2.2150 2.2689
6.6345 6.6449 6.8068
0.0000 0.0000 0.0000
4.4230 4.4299 4.5379
4.4230 1.7736 4.5379
7.0681 4.4299 4.5379
4.4230 4.4299 2.8306
4.4230 4.4299 6.2451
1.7779 4.4299 4.5379
4.4230 7.0863 4.5379
```